This record from Alexandria describes a geometry-optimized Cs3Pa2Se6 structure. The functional is PBE-GGA.

Unit cell a=15.4897 b=15.4897 c=15.4897 alpha=159.55 beta=159.55 gamma=29.08
Fractional positions:
Cs 0.0000 0.0000 0.0000
Cs 0.1849 0.1849 0.0000
Cs 0.8151 0.8151 0.0000
Pa 0.3975 0.3975 0.0000
Pa 0.6025 0.6025 0.0000
Se 0.0850 0.5850 0.5000
Se 0.3105 0.3105 0.0000
Se 0.4150 0.9150 0.5000
Se 0.5850 0.0850 0.5000
Se 0.6895 0.6895 0.0000
Se 0.9150 0.4150 0.5000

Calculated volume = 41.229 Å³/atom
Formation energy from raw total energies = -1.306 eV/atom

---

This record from Alexandria describes a geometry-optimized CsPaSe structure. The functional is PBE-GGA.

Unit cell a=8.5584 b=3.5142 c=12.0207 alpha=90.00 beta=90.00 gamma=90.00
Fractional positions:
Cs 0.1415 0.2500 0.0854
Cs 0.3585 0.7500 0.5854
Cs 0.6415 0.2500 0.4146
Cs 0.8585 0.7500 0.9146
Pa 0.0309 0.2500 0.3779
Pa 0.4691 0.7500 0.8779
Pa 0.5309 0.2500 0.1221
Pa 0.9691 0.7500 0.6221
Se 0.1912 0.2500 0.7944
Se 0.3088 0.7500 0.2944
Se 0.6912 0.2500 0.7056
Se 0.8088 0.7500 0.2056

Calculated volume = 30.127 Å³/atom
Formation energy from raw total energies = -0.131 eV/atom

---

This record from Alexandria describes a geometry-optimized Cs2PaSe6 structure. The functional is PBE-GGA.

Unit cell a=8.9548 b=8.9548 c=4.9415 alpha=93.43 beta=93.43 gamma=60.04
Fractional positions:
Cs 0.1754 0.1754 0.3734
Cs 0.8246 0.8246 0.6266
Pa 0.5000 0.5000 0.0000
Se 0.1716 0.5673 0.1343
Se 0.3073 0.6927 0.5000
Se 0.4327 0.8284 0.8657
Se 0.5673 0.1716 0.1343
Se 0.6927 0.3073 0.5000
Se 0.8284 0.4327 0.8657

Calculated volume = 38.055 Å³/atom
Formation energy from raw total energies = -0.948 eV/atom

---

This record from Alexandria describes a geometry-optimized Cs3PaSe3 structure. The functional is PBE-GGA.

Unit cell a=8.8717 b=8.8717 c=9.3589 alpha=99.99 beta=99.99 gamma=113.06
Fractional positions:
Cs 0.1770 0.8230 0.0000
Cs 0.2880 0.7120 0.5000
Cs 0.3882 0.3882 0.1244
Cs 0.6118 0.6118 0.8756
Cs 0.7120 0.2880 0.5000
Cs 0.8230 0.1770 0.0000
Pa 0.1266 0.1266 0.6173
Pa 0.8734 0.8734 0.3827
Se 0.1402 0.1402 0.3147
Se 0.1416 0.4280 0.7748
Se 0.4280 0.1416 0.7748
Se 0.5720 0.8584 0.2252
Se 0.8584 0.5720 0.2252
Se 0.8598 0.8598 0.6853

Calculated volume = 45.950 Å³/atom
Formation energy from raw total energies = -1.157 eV/atom

---

This record from Alexandria describes a geometry-optimized CsPa2Se4 structure. The functional is PBE-GGA.

Unit cell a=7.3307 b=7.3307 c=14.6895 alpha=90.00 beta=90.00 gamma=146.33
Fractional positions:
Cs 0.1076 0.8924 0.7500
Cs 0.8924 0.1076 0.2500
Pa 0.3708 0.6292 0.5615
Pa 0.3708 0.6292 0.9385
Pa 0.6292 0.3708 0.0615
Pa 0.6292 0.3708 0.4385
Se 0.0000 0.0000 0.0000
Se 0.0000 0.0000 0.5000
Se 0.2611 0.7389 0.1030
Se 0.2611 0.7389 0.3970
Se 0.4078 0.5922 0.7500
Se 0.5922 0.4078 0.2500
Se 0.7389 0.2611 0.6030
Se 0.7389 0.2611 0.8970

Calculated volume = 31.259 Å³/atom
Formation energy from raw total energies = -1.317 eV/atom

---

This record from Alexandria describes a geometry-optimized Cs2Pa2Se5 structure. The functional is PBE-GGA.

Unit cell a=9.7034 b=9.7034 c=8.0211 alpha=90.00 beta=90.00 gamma=48.85
Fractional positions:
Cs 0.2062 0.2062 0.0000
Cs 0.2938 0.2938 0.5000
Cs 0.7062 0.7062 0.5000
Cs 0.7938 0.7938 0.0000
Pa 0.1583 0.8417 0.6585
Pa 0.3417 0.6583 0.1585
Pa 0.6583 0.3417 0.8415
Pa 0.8417 0.1583 0.3415
Se 0.0000 0.0000 0.0000
Se 0.0413 0.7524 0.3557
Se 0.2476 0.9587 0.3557
Se 0.2524 0.5413 0.8557
Se 0.4587 0.7476 0.8557
Se 0.5000 0.5000 0.5000
Se 0.5413 0.2524 0.1443
Se 0.7476 0.4587 0.1443
Se 0.7524 0.0413 0.6443
Se 0.9587 0.2476 0.6443

Calculated volume = 31.593 Å³/atom
Formation energy from raw total energies = -1.406 eV/atom